1.
Material: TbTmCdCo
Method: DFT, GGA-PBE
State: relaxed

The calculation puts the electronic total energy at -4.43 eV/atom. Its formation energy is -0.150 eV per atom. The calculation puts the energy above the most stable polymorph in this dataset at 0.47 eV/f.u. Its density of states at the Fermi level is 10.36 states/eV/cell. The calculation puts the total moment at 2.2 μB/cell.

It has space group F-43m (No. 216), with a = 7.082 Å, b = 7.082 Å, c = 7.082 Å, α = 90.00°, β = 90.00° and γ = 90.00°. The inequivalent atoms are Tb at (0.000, 0.000, 0.000), Tm at (0.000, 0.000, 0.500), Cd at (0.250, 0.250, 0.750) and Co at (0.250, 0.250, 0.250).

---

2.
Material: HfHgP2O
Method: DFT, GGA-PBE
State: relaxed

For the energy relative to the elements, uncorrected, the calculation gives 0.689 eV per atom. The calculation puts the electronic total energy at -4.52 eV/atom. The calculation puts the energy above the most stable polymorph in this dataset at 5.81 eV/f.u. Its density of states at the Fermi level is 3.02 states/eV/cell. The calculation puts the total moment at 0.0 μB/cell.

It has space group P4/mmm (No. 123), with a = 4.895 Å, b = 4.895 Å, c = 4.047 Å, α = 90.00°, β = 90.00° and γ = 90.00°. The inequivalent atoms are Hf at (0.000, 0.000, 0.000), Hg at (0.500, 0.500, 0.500), P at (0.000, 0.500, 0.500) and O at (0.500, 0.500, 0.000).